A plane-wave DFT calculation with PBE+U was carried out for a geometry-optimized Tb2FeSbO7 structure.

Cell: 7.3194 7.3194 7.3194 Å, 120.36 119.41 90.20°
Site moments in Bohr magnetons follow the coordinates.
Atoms (fractional coordinates):
O 0.1617 0.8299 0.7400  0.07
O 0.8383 0.1701 0.2600  0.07
O 0.5899 0.4216 0.7600  0.07
O 0.5893 0.8393 0.7500  0.20
O 0.4101 0.5784 0.2400  0.07
O 0.8769 0.1269 0.7500  0.00
O 0.4101 0.1701 0.8318  0.07
O 0.8383 0.5784 0.6682  0.07
O 0.1231 0.8731 0.2500  0.00
O 0.5899 0.8299 0.1682  0.07
O 0.8299 0.5799 0.2500  0.01
O 0.4107 0.1607 0.2500  0.20
O 0.1617 0.4216 0.3318  0.07
O 0.1701 0.4201 0.7500  0.01
Tb 0.5000 0.0000 0.5000  0.02
Tb 0.0000 0.0000 0.0000  0.02
Tb 0.0000 0.0000 0.5000  0.01
Tb 0.0000 0.5000 0.0000  0.01
Fe 0.5000 0.5000 0.5000  4.37
Fe 0.5000 0.0000 0.0000  4.37
Sb 0.0000 0.5000 0.5000  0.01
Sb 0.5000 0.5000 0.0000  0.01

Calculated values
Theoretical density = 7.3 g/cm3
DFT total energy = -7.3733 eV/atom
Size of the total moment = 5.000 μB per formula unit